Entry 1:
Computed, not measured: Sn5Pd2Pt2 after structural relaxation at the PBE level of DFT.

Cell: 9.295 9.295 9.295 Å, 64.39 135.39 136.08°
Fractional coordinates of all 18 atoms:
1 Sn 0.162 0.488 0.986
2 Sn 0.162 0.676 0.174
3 Sn 0.170 0.069 0.239
4 Sn 0.170 0.431 0.601
5 Sn 0.502 0.176 0.014
6 Sn 0.502 0.988 0.826
7 Sn 0.529 0.413 0.616
8 Sn 0.796 0.913 0.384
9 Sn 0.830 0.569 0.399
10 Sn 0.830 0.931 0.761
11 Pd 0.652 0.076 0.393
12 Pd 0.652 0.759 0.075
13 Pd 0.684 0.259 0.607
14 Pd 0.684 0.576 0.925
15 Pt 0.024 0.782 0.742
16 Pt 0.040 0.282 0.258
17 Pt 0.310 0.310 0.000
18 Pt 0.310 0.810 0.500

* energy of formation: -353 kJ/mol of formula units
* space group: No. 46



Entry 2:
Computed, not measured: Sn3PdPt after structural relaxation at the PBE level of DFT.

Cell: 8.426 8.426 3.553 Å, 90.00 90.00 115.96°
Fractional coordinates of all 10 atoms:
1 Sn 0.145 0.855 0.000
2 Sn 0.198 0.413 0.500
3 Sn 0.413 0.198 0.500
4 Sn 0.587 0.802 0.500
5 Sn 0.802 0.587 0.500
6 Sn 0.855 0.145 0.000
7 Pd 0.000 0.000 0.500
8 Pd 0.500 0.500 0.000
9 Pt 0.000 0.500 0.000
10 Pt 0.500 0.000 0.000

* energy of formation: -152 kJ/mol of formula units
* space group: No. 65



Entry 3:
Computed, not measured: SnPd2Pt2 after structural relaxation at the PBE level of DFT.

Cell: 6.846 6.846 3.798 Å, 90.00 90.00 90.00°
Fractional coordinates of all 10 atoms:
1 Sn 0.000 0.000 0.000
2 Sn 0.500 0.500 0.000
3 Pd 0.159 0.341 0.500
4 Pd 0.341 0.841 0.500
5 Pd 0.659 0.159 0.500
6 Pd 0.841 0.659 0.500
7 Pt 0.138 0.638 0.000
8 Pt 0.362 0.138 0.000
9 Pt 0.638 0.862 0.000
10 Pt 0.862 0.362 0.000

* energy of formation: -72 kJ/mol of formula units
* space group: No. 127



Entry 4:
Computed, not measured: SnPdPt6 after structural relaxation at the PBE level of DFT.

Cell: 4.010 4.010 8.015 Å, 90.00 90.00 90.00°
Fractional coordinates of all 8 atoms:
1 Sn 0.000 0.000 0.000
2 Pd 0.000 0.000 0.500
3 Pt 0.000 0.500 0.252
4 Pt 0.000 0.500 0.748
5 Pt 0.500 0.000 0.252
6 Pt 0.500 0.000 0.748
7 Pt 0.500 0.500 0.000
8 Pt 0.500 0.500 0.500

* energy of formation: -142 kJ/mol of formula units
* space group: No. 123



Entry 5:
Computed, not measured: Sn4Pd2Pt after structural relaxation at the PBE level of DFT.

Cell: 5.772 12.871 4.208 Å, 90.00 90.00 90.00°
Fractional coordinates of all 14 atoms:
1 Sn 0.228 0.063 0.000
2 Sn 0.249 0.826 0.500
3 Sn 0.251 0.326 0.500
4 Sn 0.272 0.563 0.000
5 Sn 0.728 0.437 0.000
6 Sn 0.749 0.674 0.500
7 Sn 0.751 0.174 0.500
8 Sn 0.772 0.937 0.000
9 Pd 0.005 0.750 0.000
10 Pd 0.495 0.250 0.000
11 Pd 0.505 0.750 0.000
12 Pd 0.995 0.250 0.000
13 Pt 0.000 0.500 0.500
14 Pt 0.500 0.000 0.500

* energy of formation: -294 kJ/mol of formula units
* space group: No. 55



Entry 6:
Computed, not measured: SnPd6Pt23 after structural relaxation at the PBE level of DFT.

Cell: 9.638 9.638 9.638 Å, 131.75 131.75 70.62°
Fractional coordinates of all 30 atoms:
1 Sn 0.000 0.000 0.000
2 Pd 0.248 0.248 0.497
3 Pd 0.248 0.752 0.000
4 Pd 0.250 0.250 0.000
5 Pd 0.750 0.750 0.000
6 Pd 0.752 0.248 0.000
7 Pd 0.752 0.752 0.503
8 Pt 0.000 0.000 0.500
9 Pt 0.000 0.500 0.000
10 Pt 0.000 0.500 0.500
11 Pt 0.119 0.372 0.747
12 Pt 0.127 0.870 0.257
13 Pt 0.130 0.387 0.257
14 Pt 0.130 0.873 0.743
15 Pt 0.372 0.119 0.747
16 Pt 0.372 0.625 0.253
17 Pt 0.375 0.628 0.747
18 Pt 0.387 0.130 0.257
19 Pt 0.500 0.000 0.000
20 Pt 0.500 0.000 0.500
21 Pt 0.500 0.500 0.000
22 Pt 0.500 0.500 0.500
23 Pt 0.613 0.870 0.743
24 Pt 0.625 0.372 0.253
25 Pt 0.628 0.375 0.747
26 Pt 0.628 0.881 0.253
27 Pt 0.870 0.127 0.257
28 Pt 0.870 0.613 0.743
29 Pt 0.873 0.130 0.743
30 Pt 0.881 0.628 0.253

* energy of formation: -121 kJ/mol of formula units
* space group: No. 139



Entry 7:
Computed, not measured: SnPd5Pt after structural relaxation at the PBE level of DFT.

Cell: 5.420 5.420 9.912 Å, 98.17 98.17 56.35°
Fractional coordinates of all 14 atoms:
1 Sn 0.240 0.760 0.750
2 Sn 0.760 0.240 0.250
3 Pd 0.217 0.259 0.685
4 Pd 0.259 0.217 0.185
5 Pd 0.266 0.734 0.250
6 Pd 0.338 0.373 0.958
7 Pd 0.373 0.338 0.458
8 Pd 0.627 0.662 0.542
9 Pd 0.662 0.627 0.042
10 Pd 0.734 0.266 0.750
11 Pd 0.741 0.783 0.815
12 Pd 0.783 0.741 0.315
13 Pt 0.000 0.000 0.000
14 Pt 0.000 0.000 0.500

* energy of formation: -59 kJ/mol of formula units
* space group: No. 15



Entry 8:
Computed, not measured: Sn12Pd6Pt after structural relaxation at the PBE level of DFT.

Cell: 7.851 7.851 7.851 Å, 99.22 99.22 99.22°
Fractional coordinates of all 19 atoms:
1 Sn 0.058 0.927 0.326
2 Sn 0.073 0.674 0.942
3 Sn 0.180 0.446 0.587
4 Sn 0.326 0.058 0.927
5 Sn 0.413 0.820 0.554
6 Sn 0.446 0.587 0.180
7 Sn 0.554 0.413 0.820
8 Sn 0.587 0.180 0.446
9 Sn 0.674 0.942 0.073
10 Sn 0.820 0.554 0.413
11 Sn 0.927 0.326 0.058
12 Sn 0.942 0.073 0.674
13 Pd 0.140 0.598 0.293
14 Pd 0.293 0.140 0.598
15 Pd 0.402 0.707 0.860
16 Pd 0.598 0.293 0.140
17 Pd 0.707 0.860 0.402
18 Pd 0.860 0.402 0.707
19 Pt 0.000 0.000 0.000

* energy of formation: -655 kJ/mol of formula units
* space group: No. 148



Entry 9:
Computed, not measured: SnPd4Pt after structural relaxation at the PBE level of DFT.

Cell: 4.120 11.476 4.102 Å, 90.00 90.00 90.00°
Fractional coordinates of all 12 atoms:
1 Sn 0.000 0.000 0.000
2 Sn 0.500 0.500 0.000
3 Pd 0.000 0.167 0.500
4 Pd 0.000 0.334 0.000
5 Pd 0.000 0.666 0.000
6 Pd 0.000 0.833 0.500
7 Pd 0.500 0.166 0.000
8 Pd 0.500 0.333 0.500
9 Pd 0.500 0.667 0.500
10 Pd 0.500 0.834 0.000
11 Pt 0.000 0.500 0.500
12 Pt 0.500 0.000 0.500

* energy of formation: -184 kJ/mol of formula units
* space group: No. 65



Entry 10:
Computed, not measured: Sn3PdPt after structural relaxation at the PBE level of DFT.

Cell: 5.179 5.179 5.179 Å, 90.00 90.00 90.00°
Fractional coordinates of all 5 atoms:
1 Sn 0.000 0.000 0.500
2 Sn 0.000 0.500 0.000
3 Sn 0.500 0.000 0.000
4 Pd 0.500 0.500 0.500
5 Pt 0.000 0.000 0.000

* energy of formation: 128 kJ/mol of formula units
* space group: No. 221



Entry 11:
Computed, not measured: Sn5PdPt after structural relaxation at the PBE level of DFT.

Cell: 6.927 6.927 9.101 Å, 110.02 110.02 71.54°
Fractional coordinates of all 14 atoms:
1 Sn 0.127 0.365 0.633
2 Sn 0.153 0.847 0.750
3 Sn 0.187 0.586 0.007
4 Sn 0.365 0.127 0.133
5 Sn 0.414 0.813 0.493
6 Sn 0.586 0.187 0.507
7 Sn 0.635 0.873 0.867
8 Sn 0.813 0.414 0.993
9 Sn 0.847 0.153 0.250
10 Sn 0.873 0.635 0.367
11 Pd 0.488 0.512 0.750
12 Pd 0.512 0.488 0.250
13 Pt 0.000 0.000 0.000
14 Pt 0.000 0.000 0.500

* energy of formation: -115 kJ/mol of formula units
* space group: No. 15



Entry 12:
Computed, not measured: Sn6PdPt2 after structural relaxation at the PBE level of DFT.

Cell: 11.074 11.074 6.148 Å, 90.00 90.00 120.00°
Fractional coordinates of all 27 atoms:
1 Sn 0.092 0.546 0.258
2 Sn 0.110 0.220 0.306
3 Sn 0.110 0.890 0.306
4 Sn 0.214 0.429 0.715
5 Sn 0.214 0.786 0.715
6 Sn 0.220 0.110 0.694
7 Sn 0.429 0.214 0.285
8 Sn 0.454 0.546 0.258
9 Sn 0.454 0.908 0.258
10 Sn 0.546 0.092 0.742
11 Sn 0.546 0.454 0.742
12 Sn 0.571 0.786 0.715
13 Sn 0.780 0.890 0.306
14 Sn 0.786 0.214 0.285
15 Sn 0.786 0.571 0.285
16 Sn 0.890 0.110 0.694
17 Sn 0.890 0.780 0.694
18 Sn 0.908 0.454 0.742
19 Pd 0.000 0.000 0.000
20 Pd 0.333 0.667 0.488
21 Pd 0.667 0.333 0.512
22 Pt 0.000 0.317 0.000
23 Pt 0.000 0.683 0.000
24 Pt 0.317 0.000 0.000
25 Pt 0.317 0.317 0.000
26 Pt 0.683 0.000 0.000
27 Pt 0.683 0.683 0.000

* energy of formation: -291 kJ/mol of formula units
* space group: No. 164



Entry 13:
Computed, not measured: Sn2Pd3Pt3 after structural relaxation at the PBE level of DFT.

Cell: 12.394 4.880 4.845 Å, 90.00 112.91 90.00°
Fractional coordinates of all 16 atoms:
1 Sn 0.249 0.000 0.249
2 Sn 0.251 0.500 0.751
3 Sn 0.749 0.500 0.249
4 Sn 0.751 0.000 0.751
5 Pd 0.000 0.000 0.000
6 Pd 0.126 0.000 0.625
7 Pd 0.374 0.500 0.375
8 Pd 0.500 0.500 0.000
9 Pd 0.626 0.500 0.625
10 Pd 0.874 0.000 0.375
11 Pt 0.000 0.500 0.500
12 Pt 0.124 0.500 0.124
13 Pt 0.376 0.000 0.876
14 Pt 0.500 0.000 0.500
15 Pt 0.624 0.000 0.124
16 Pt 0.876 0.500 0.876

* energy of formation: -222 kJ/mol of formula units
* space group: No. 12



Entry 14:
Computed, not measured: Sn3Pd12Pt after structural relaxation at the PBE level of DFT.

Cell: 4.033 4.033 15.943 Å, 90.00 90.00 90.00°
Fractional coordinates of all 16 atoms:
1 Sn 0.000 0.000 0.000
2 Sn 0.000 0.000 0.254
3 Sn 0.000 0.000 0.746
4 Pd 0.000 0.500 0.127
5 Pd 0.000 0.500 0.377
6 Pd 0.000 0.500 0.623
7 Pd 0.000 0.500 0.873
8 Pd 0.500 0.000 0.127
9 Pd 0.500 0.000 0.377
10 Pd 0.500 0.000 0.623
11 Pd 0.500 0.000 0.873
12 Pd 0.500 0.500 0.000
13 Pd 0.500 0.500 0.253
14 Pd 0.500 0.500 0.500
15 Pd 0.500 0.500 0.747
16 Pt 0.000 0.000 0.500

* energy of formation: -576 kJ/mol of formula units
* space group: No. 123



Entry 15:
Computed, not measured: Sn3Pd3Pt2 after structural relaxation at the PBE level of DFT.

Cell: 4.020 4.079 9.127 Å, 94.87 102.67 90.00°
Fractional coordinates of all 8 atoms:
1 Sn 0.000 0.000 0.000
2 Sn 0.356 0.791 0.711
3 Sn 0.644 0.209 0.289
4 Pd 0.123 0.687 0.246
5 Pd 0.500 0.500 0.000
6 Pd 0.877 0.313 0.754
7 Pt 0.249 0.249 0.499
8 Pt 0.751 0.751 0.501

* energy of formation: -330 kJ/mol of formula units
* space group: No. 2



Entry 16:
Computed, not measured: Sn8PdPt2 after structural relaxation at the PBE level of DFT.

Cell: 5.200 7.414 8.540 Å, 112.88 93.06 93.62°
Fractional coordinates of all 11 atoms:
1 Sn 0.162 0.274 0.135
2 Sn 0.209 0.833 0.177
3 Sn 0.231 0.915 0.691
4 Sn 0.250 0.427 0.591
5 Sn 0.750 0.573 0.409
6 Sn 0.769 0.085 0.309
7 Sn 0.791 0.167 0.823
8 Sn 0.838 0.726 0.865
9 Pd 0.500 0.000 0.000
10 Pt 0.260 0.637 0.377
11 Pt 0.740 0.363 0.623

* energy of formation: -210 kJ/mol of formula units
* space group: No. 2



Entry 17:
Computed, not measured: SnPd3Pt3 after structural relaxation at the PBE level of DFT.

Cell: 7.464 7.464 4.668 Å, 90.00 90.00 120.00°
Fractional coordinates of all 14 atoms:
1 Sn 0.333 0.667 0.250
2 Sn 0.667 0.333 0.750
3 Pd 0.093 0.620 0.750
4 Pd 0.380 0.473 0.750
5 Pd 0.473 0.093 0.250
6 Pd 0.527 0.907 0.750
7 Pd 0.620 0.527 0.250
8 Pd 0.907 0.380 0.250
9 Pt 0.045 0.811 0.250
10 Pt 0.189 0.234 0.250
11 Pt 0.234 0.045 0.750
12 Pt 0.766 0.955 0.250
13 Pt 0.811 0.766 0.750
14 Pt 0.955 0.189 0.750

* energy of formation: -180 kJ/mol of formula units
* space group: No. 176



Entry 18:
Computed, not measured: Sn4Pd2Pt after structural relaxation at the PBE level of DFT.

Cell: 5.211 5.211 13.121 Å, 90.00 90.00 90.00°
Fractional coordinates of all 14 atoms:
1 Sn 0.000 0.000 0.204
2 Sn 0.000 0.000 0.796
3 Sn 0.000 0.500 0.000
4 Sn 0.000 0.500 0.500
5 Sn 0.500 0.000 0.000
6 Sn 0.500 0.000 0.500
7 Sn 0.500 0.500 0.296
8 Sn 0.500 0.500 0.704
9 Pd 0.000 0.000 0.398
10 Pd 0.000 0.000 0.602
11 Pd 0.500 0.500 0.102
12 Pd 0.500 0.500 0.898
13 Pt 0.000 0.000 0.000
14 Pt 0.500 0.500 0.500

* energy of formation: -53 kJ/mol of formula units
* space group: No. 139



Entry 19:
Computed, not measured: SnPd6Pt2 after structural relaxation at the PBE level of DFT.

Cell: 6.039 6.039 8.410 Å, 97.44 97.44 104.71°
Fractional coordinates of all 18 atoms:
1 Sn 0.122 0.878 0.750
2 Sn 0.878 0.122 0.250
3 Pd 0.123 0.870 0.084
4 Pd 0.130 0.877 0.416
5 Pd 0.206 0.451 0.468
6 Pd 0.211 0.456 0.138
7 Pd 0.451 0.206 0.968
8 Pd 0.456 0.211 0.638
9 Pd 0.544 0.789 0.362
10 Pd 0.549 0.794 0.032
11 Pd 0.789 0.544 0.862
12 Pd 0.794 0.549 0.532
13 Pd 0.870 0.123 0.584
14 Pd 0.877 0.130 0.916
15 Pt 0.207 0.464 0.804
16 Pt 0.464 0.207 0.304
17 Pt 0.536 0.793 0.696
18 Pt 0.793 0.536 0.196

* energy of formation: -155 kJ/mol of formula units
* space group: No. 15